No. 1
An optimized crystal structure of Pm7Tl2Ag2, computed with PBE.

Lattice parameters (Å, degrees): 8.251 11.441 7.571 90.00 90.00 90.00
Space group Cmmm (No. 65)
Unique sites:
Pm1 0.000 0.000 0.000 x2
Pm2 0.000 0.500 0.252 x4
Pm3 0.250 0.250 0.273 x8
Tl1 0.177 0.000 0.500 x4
Ag1 0.000 0.288 0.000 x4

E_tot: -43.57 eV/f.u.
Energy relative to the elements: 0.0111 eV/atom
Crystal system: orthorhombic
Theoretical density: 7.6 g/cm³

***

No. 2
An optimized crystal structure of Pm6TlAg6, computed with PBE.

Lattice parameters (Å, degrees): 5.9666 5.9666 11.0140 90.00 90.00 120.00
Space group P6/mmm (No. 191)
Unique sites:
Pm1 0.0000 0.0000 0.1668 x2
Pm2 0.3333 0.6667 0.0000 x2
Pm3 0.3333 0.6667 0.5000 x2
Tl1 0.0000 0.0000 0.5000 x1
Ag1 0.0000 0.5000 0.2576 x6

E_tot: -50.07 eV/f.u.
Energy relative to the elements: -0.1611 eV/atom
Crystal system: hexagonal
Theoretical density: 8.4 g/cm³

***

No. 3
An optimized crystal structure of Pm3Tl2Ag, computed with PBE.

Lattice parameters (Å, degrees): 5.4198 5.4198 13.3551 90.00 90.00 120.00
Space group P-3m1 (No. 164)
Unique sites:
Pm1 0.0000 0.0000 0.2448 x2
Pm2 0.3333 0.6667 0.4103 x2
Pm3 0.3333 0.6667 0.9163 x2
Tl1 0.0000 0.0000 0.0000 x1
Tl2 0.0000 0.0000 0.5000 x1
Tl3 0.3333 0.6667 0.6685 x2
Ag1 0.3333 0.6667 0.1645 x2

E above lowest polymorph: 11 meV/atom
E_tot: -23.85 eV/f.u.
Energy relative to the elements: -0.3357 eV/atom
Crystal system: trigonal
Theoretical density: 9.3 g/cm³

***

No. 4
An optimized crystal structure of Pm4Tl3Ag2, computed with PBE.

Lattice parameters (Å, degrees): 9.063 5.233 10.602 90.00 90.06 90.00
Space group C2/m (No. 12)
Unique sites:
Pm1 0.000 0.000 0.172 x4
Pm2 0.167 0.500 0.614 x4
Tl1 0.000 0.000 0.500 x2
Tl2 0.167 0.500 0.949 x4
Ag1 0.166 0.500 0.314 x4

E_tot: -34.13 eV/f.u.
Energy relative to the elements: -0.2590 eV/atom
Crystal system: monoclinic
Theoretical density: 9.3 g/cm³

***

No. 5
An optimized crystal structure of Pm3Tl3Ag2, computed with PBE.

Lattice parameters (Å, degrees): 8.0241 8.0241 3.8990 90.00 90.00 120.00
Space group P-62m (No. 189)
Unique sites:
Pm1 0.0000 0.3946 0.0000 x3
Tl1 0.0000 0.7550 0.5000 x3
Ag1 0.3333 0.6667 0.5000 x2

E above lowest polymorph: 0 meV/atom
E_tot: -29.43 eV/f.u.
Energy relative to the elements: -0.2975 eV/atom
Crystal system: hexagonal
Theoretical density: 9.7 g/cm³

***

No. 6
An optimized crystal structure of Pm2TlAg5, computed with PBE.

Lattice parameters (Å, degrees): 6.673 6.673 8.467 90.00 90.00 90.00
Space group I4mm (No. 107)
Unique sites:
Pm1 0.000 0.500 0.000 x4
Tl1 0.000 0.000 0.429 x2
Ag1 0.000 0.000 0.034 x2
Ag2 0.216 0.216 0.752 x8

E_tot: -26.80 eV/f.u.
Energy relative to the elements: -0.0840 eV/atom
Crystal system: tetragonal
Theoretical density: 9.1 g/cm³

***

No. 7
An optimized crystal structure of Pm5Tl6Ag, computed with PBE.

Lattice parameters (Å, degrees): 5.295 7.808 16.501 90.00 90.00 90.00
Space group Immm (No. 71)
Unique sites:
Pm1 0.000 0.000 0.000 x2
Pm2 0.000 0.000 0.354 x4
Pm3 0.000 0.500 0.324 x4
Tl1 0.000 0.248 0.165 x8
Tl2 0.000 0.260 0.500 x4
Ag1 0.000 0.500 0.000 x2

E_tot: -44.50 eV/f.u.
Energy relative to the elements: -0.3078 eV/atom
Crystal system: orthorhombic
Theoretical density: 10.0 g/cm³

***

No. 8
An optimized crystal structure of Pm5Tl5Ag2, computed with PBE.

Lattice parameters (Å, degrees): 16.593 4.883 10.495 90.00 128.61 90.00
Space group C2/m (No. 12)
Unique sites:
Pm1 0.000 0.000 0.000 x2
Pm2 0.122 0.000 0.815 x4
Pm3 0.171 0.000 0.510 x4
Tl1 0.000 0.500 0.500 x2
Tl2 0.053 0.500 0.253 x4
Tl3 0.246 0.500 0.760 x4
Ag1 0.151 0.500 0.064 x4

E_tot: -45.05 eV/f.u.
Energy relative to the elements: -0.3138 eV/atom
Crystal system: monoclinic
Theoretical density: 9.8 g/cm³

***

no.,M_tot (μB/f.u.)
1,0.00
2,0.00
3,0.98
4,0.00
5,0.00
6,0.00
7,0.00
8,0.00